Material: Li2InAu
Method: DFT, GGA-PBE
State: relaxed

Cell: 6.503 6.503 6.503 Å, 90.00 90.00 90.00°
Space group F-43m (No. 216)
Inequivalent atoms, fractional coordinates:
Li1 0.000 0.000 0.000 x4
Li2 0.250 0.250 0.250 x4
In1 0.000 0.000 0.500 x4
Au1 0.250 0.250 0.750 x4

## Properties
**V**: 17.190 Å³ per atom
**Mass density**: 7.86 g/cm3
**VASP energy**: -2.9334 eV/atom